(1)
First-principles (PBE) data for crystalline Tm3TlCu2 at its relaxed geometry, as listed in the Alexandria database.

Calculated values
size of the total moment: 0.00 Bohr magnetons per cell
ρ: 10483 kg/m3
Fermi-level density of states: 0.464 states/eV per atom
DFT formation energy: -0.291 eV per atom

```
6
Lattice="3.453 0.000 0.000 0.000 3.453 0.000 0.000 0.000 11.139" Properties=species:S:1:pos:R:3 pbc="T T T"
Tm 0.000 0.000 7.744
Tm 0.000 0.000 3.395
Tm 0.000 0.000 0.000
Cu 1.726 1.726 1.714
Cu 1.726 1.726 9.425
Tl 1.726 1.726 5.569
```

=====

(2)
First-principles (PBE) data for crystalline Tm7Tl2Cu2 at its relaxed geometry, as listed in the Alexandria database.

Calculated values
size of the total moment: 0.00 Bohr magnetons per cell
ρ: 9344 kg/m3
Fermi-level density of states: 0.888 states/eV per atom
DFT formation energy: -0.033 eV per atom

```
11
Lattice="-2.040 -6.178 2.001 2.914 -2.789 -5.641 6.175 1.142 2.626" Properties=species:S:1:pos:R:3 pbc="T T T"
Tm 4.288 -4.647 -1.989
Tm 5.269 -1.520 -2.914
Tm 7.337 -4.039 -0.601
Tm 2.761 -3.179 0.974
Tm -0.287 -3.786 -0.414
Tm 0.000 0.000 0.000
Tm 1.781 -6.305 1.900
Tl 2.211 -2.312 -1.977
Tl 4.839 -5.513 0.963
Cu 3.760 -1.011 2.442
Cu 3.290 -6.814 -3.456
```

=====

(3)
First-principles (PBE) data for crystalline Tm4TlCu3 at its relaxed geometry, as listed in the Alexandria database.

Calculated values
size of the total moment: 0.00 Bohr magnetons per cell
ρ: 10202 kg/m3
Fermi-level density of states: 0.557 states/eV per atom
DFT formation energy: -0.255 eV per atom

```
8
Lattice="-1.774 -0.340 -3.016 -3.135 -3.205 2.205 -5.885 7.553 2.612" Properties=species:S:1:pos:R:3 pbc="T T T"
Tm -3.153 0.433 1.806
Tm 0.000 0.000 0.000
Tm -5.866 3.916 3.010
Tm -2.942 3.776 1.306
Tl -2.454 -1.772 -0.405
Cu -5.279 5.468 0.441
Cu -5.397 2.004 0.900
Cu -2.379 1.746 -0.846
```

=====

(4)
First-principles (PBE) data for crystalline Tm5TlCu2 at its relaxed geometry, as listed in the Alexandria database.

Calculated values
size of the total moment: 0.00 Bohr magnetons per cell
ρ: 9947 kg/m3
Fermi-level density of states: 1.384 states/eV per atom
DFT formation energy: -0.222 eV per atom

```
16
Lattice="-2.749 -3.347 6.465 -0.920 -6.695 -3.858 7.852 3.249 0.338" Properties=species:S:1:pos:R:3 pbc="T T T"
Cu -0.695 -2.916 -0.600
Cu -2.973 -7.126 3.206
Cu -1.847 -2.967 3.568
Cu -1.822 -7.075 -0.961
Tm 5.124 -1.182 -1.642
Tm 0.653 -5.427 -1.057
Tm 3.530 -1.367 4.002
Tm 0.000 0.000 0.000
Tm 5.075 1.546 1.484
Tm 3.579 -4.095 0.877
Tm -0.892 -8.340 1.461
Tm -1.834 -5.021 1.303
Tm 0.604 -2.699 2.068
Tm -0.940 -5.612 4.586
Tl 1.175 -5.908 2.124
Tl 3.009 -0.886 0.821
```